## SrIn2BF (GGA-PBE)

Data for a relaxed SrIn2BF crystal.

Values from the calculation:
- energy (eV per formula unit) = -17.19
- E_form (uncorrected) (eV/f.u.) = -1.49
- density of states at the Fermi level (states/eV per atom) = 0.6385

Unit cell a=4.3860 b=6.6935 c=4.3860 alpha=90.00 beta=90.00 gamma=90.00
Sites, in units of the cell vectors:
1 Sr 0.5000 0.5000 0.5000
2 B 0.0000 0.0000 0.0000
3 F 0.0000 0.5000 0.0000
4 In 0.5000 0.0000 0.0000
5 In 0.0000 0.0000 0.5000